Compound: Ta2InHg
Source: Alexandria via LeMat-Bulk
Functional: SCAN
Structure: single point on PBEsol structure

Lattice parameters (Å, degrees): 5.311 5.311 5.311 134.55 134.55 66.23
Element x y z (fractional)
Ta1 0.000 0.000 0.000
Ta2 0.750 0.250 0.500
In1 0.250 0.750 0.500
Hg1 0.500 0.500 0.000

The space-group type is No. 119. The calculation puts the energy of formation at 313 meV/atom. For the volume, the calculation gives 18.7 Å³/atom.